VASP calculation (PBEsol) on a relaxed structure of Al2AsPt.

```
4
Lattice="-1.4684 0.8272 -2.3495 2.0348 -1.1747 -1.6853 -3.7960 -6.6302 0.0382" Properties=species:S:1:pos:R:3 pbc="T T T"
As -1.9291 -3.3695 0.0194
Al -3.7268 -6.5093 0.0375
Al -0.6200 -1.7514 -2.0083
Pt -2.6477 -5.2929 -1.9879
```

Summary:
formation energy from the elements: -0.223 eV per atom
energy: -5.2863 eV/atom

=====

VASP calculation (PBEsol) on a relaxed structure of AlAs2Pt.

```
4
Lattice="3.0800 0.0269 0.0000 -0.0268 3.0814 0.0000 0.0000 0.0000 7.0564" Properties=species:S:1:pos:R:3 pbc="T T T"
As 0.0000 0.0000 1.8742
As 0.0000 0.0000 5.1822
Al 1.5266 1.5541 0.0000
Pt 1.5266 1.5541 3.5282
```

Summary:
formation energy from the elements: 0.058 eV per atom
energy: -5.2587 eV/atom

=====

VASP calculation (PBEsol) on a relaxed structure of Al2AsPt.

```
4
Lattice="-0.5093 -0.1171 3.5028 -2.0671 -2.8484 -0.3958 4.2361 -3.1452 0.5109" Properties=species:S:1:pos:R:3 pbc="T T T"
As 1.8417 -1.3674 0.2221
Al 3.9756 -2.9518 0.4794
Al -0.0342 -2.4138 1.7047
Pt 2.2307 -4.0954 1.9779
```

Summary:
formation energy from the elements: -0.383 eV per atom
energy: -5.4458 eV/atom

=====

VASP calculation (PBEsol) on a relaxed structure of AlAsPt.

```
3
Lattice="-2.1641 3.4003 -1.2398 -4.0059 0.5085 1.2154 -0.9917 3.0014 2.7912" Properties=species:S:1:pos:R:3 pbc="T T T"
As -1.7904 1.7275 0.6917
Al -3.5809 3.4551 1.3834
Pt 0.0000 0.0000 0.0000
```

Summary:
formation energy from the elements: -0.076 eV per atom
energy: -5.4631 eV/atom

=====

VASP calculation (PBEsol) on a relaxed structure of AlAs2Pt.

```
4
Lattice="2.7559 0.0000 0.0000 0.0000 5.0923 0.0000 -1.3779 -2.5462 4.8820" Properties=species:S:1:pos:R:3 pbc="T T T"
As 1.3779 2.5462 4.6249
As 1.3779 0.0000 2.7569
Al 0.0000 2.5462 2.2615
Pt 1.3779 2.5462 0.1207
```

Summary:
formation energy from the elements: -0.095 eV per atom
energy: -5.4120 eV/atom

=====

VASP calculation (PBEsol) on a relaxed structure of Al2AsPt.

```
4
Lattice="3.4934 0.0000 0.0000 0.0000 4.2433 0.0000 0.0000 0.0000 4.2433" Properties=species:S:1:pos:R:3 pbc="T T T"
As 1.7467 2.1217 2.1217
Al 0.0000 0.0000 2.1217
Al 0.0000 2.1217 0.0000
Pt 1.7467 0.0000 0.0000
```

Summary:
formation energy from the elements: -0.268 eV per atom
energy: -5.3313 eV/atom

=====

VASP calculation (PBEsol) on a relaxed structure of Ta2AlAsPt.

```
5
Lattice="-1.2301 3.9644 -1.2440 -4.3789 -0.8482 1.6269 1.2449 1.7189 4.2469" Properties=species:S:1:pos:R:3 pbc="T T T"
As -2.1821 2.4176 2.3149
Al 0.0000 0.0000 0.0000
Pt -0.6151 1.9822 -0.6220
Ta 0.6224 0.8595 2.1235
Ta -2.1895 -0.4241 0.8134
```

Summary:
formation energy from the elements: 1.145 eV per atom
energy: -7.1078 eV/atom

=====

VASP calculation (PBEsol) on a relaxed structure of Rb3AlAs.

```
5
Lattice="6.5633 0.0000 0.0000 0.0000 6.5633 0.0000 0.0000 0.0000 6.5633" Properties=species:S:1:pos:R:3 pbc="T T T"
As 0.0000 0.0000 0.0000
Al 3.2817 3.2817 3.2817
Rb 0.0000 3.2817 0.0000
Rb 0.0000 0.0000 3.2817
Rb 3.2817 0.0000 0.0000
```

Summary:
formation energy from the elements: 0.422 eV per atom
energy: -2.0326 eV/atom